Record 1
The following is a PBE calculation of an optimized crystal structure of LaMnOs2, from Alexandria.

- ρ: 13.88 g/cm3
- Excess energy over the best structure of this formula in the dataset: 0 meV per atom
- Calculated total energy: -35.44 eV/cell
- Calculated formation energy: 1.113 eV per formula unit
- D(E_F): 1.056 states/eV/atom

Lattice parameters (Å, degrees): 2.998 2.998 7.644 90.00 90.00 90.00
Each line ends with the local moment (μB).
Fractional coordinates of all 4 atoms:
La 0.500 0.500 0.250  -0.04
Mn 0.500 0.500 0.750  2.13
Os 0.000 0.000 0.938  -0.15
Os 0.000 0.000 0.562  -0.15

***

Record 2
The following is a PBE calculation of an optimized crystal structure of Nd6HgIr2, from Alexandria.

- ρ: 9.69 g/cm3
- Calculated total energy: -50.29 eV/cell
- Calculated formation energy: -3.663 eV per formula unit
- D(E_F): 0.886 states/eV/atom

Lattice parameters (Å, degrees): 5.152 5.826 9.412 80.06 90.00 116.24
Fractional coordinates of all 9 atoms:
Nd 0.963 0.926 0.846
Nd 0.711 0.423 0.165
Nd 0.289 0.577 0.835
Nd 0.659 0.318 0.608
Nd 0.341 0.682 0.392
Nd 0.037 0.074 0.154
Hg 0.000 0.000 0.500
Ir 0.621 0.242 0.901
Ir 0.379 0.758 0.099

***

Record 3
The following is a PBE calculation of an optimized crystal structure of BaP2Pd, from Alexandria.

- ρ: 5.12 g/cm3
- Calculated total energy: -40.91 eV/cell
- Calculated formation energy: -2.522 eV per formula unit
- D(E_F): 0.587 states/eV/atom

Lattice parameters (Å, degrees): 4.900 4.900 8.956 74.12 74.12 90.00
Fractional coordinates of all 8 atoms:
P 0.377 0.125 0.250
P 0.373 0.625 0.250
P 0.375 0.623 0.750
P 0.875 0.627 0.750
Ba 0.000 0.000 0.000
Ba 0.750 0.250 0.500
Pd 0.500 0.500 0.000
Pd 0.250 0.750 0.500

***

Record 4
The following is a PBE calculation of an optimized crystal structure of DyTm9Th2, from Alexandria.

- ρ: 9.49 g/cm3
- Excess energy over the best structure of this formula in the dataset: 77 meV per atom
- Calculated total energy: -58.37 eV/cell
- Calculated formation energy: 1.320 eV per formula unit
- D(E_F): 1.901 states/eV/atom

Lattice parameters (Å, degrees): 3.451 11.211 11.211 120.00 90.00 90.00
Fractional coordinates of all 12 atoms:
Dy 0.000 0.000 0.000
Tm 0.000 0.000 0.500
Tm 0.000 0.500 0.500
Tm 0.000 0.500 0.000
Tm 0.500 0.349 0.174
Tm 0.500 0.174 0.826
Tm 0.500 0.174 0.349
Tm 0.500 0.826 0.651
Tm 0.500 0.826 0.174
Tm 0.500 0.651 0.826
Th 0.000 0.333 0.667
Th 0.000 0.667 0.333

***

Record 5
The following is a PBE calculation of an optimized crystal structure of Be2Fe2Sn, from Alexandria.

- ρ: 6.89 g/cm3
- Excess energy over the best structure of this formula in the dataset: 186 meV per atom
- Calculated total energy: -54.21 eV/cell
- Calculated formation energy: 1.274 eV per formula unit
- D(E_F): 0.488 states/eV/atom

Lattice parameters (Å, degrees): 6.368 6.368 2.954 90.00 90.00 90.00
Fractional coordinates of all 10 atoms:
Be 0.133 0.633 0.500
Be 0.633 0.867 0.500
Be 0.867 0.367 0.500
Be 0.367 0.133 0.500
Sn 0.000 0.000 0.000
Sn 0.500 0.500 0.000
Fe 0.357 0.857 0.000
Fe 0.857 0.643 0.000
Fe 0.643 0.143 0.000
Fe 0.143 0.357 0.000

***

Record 6
The following is a PBE calculation of an optimized crystal structure of Al2SbIr, from Alexandria.

- Formation energy from raw total energies: -0.018 eV per atom
- ρ: 8.96 g/cm3
- Calculated total energy: -20.54 eV/cell
- D(E_F): 0.395 states/eV/atom

Lattice parameters (Å, degrees): 4.861 4.861 3.068 90.00 90.00 109.73
Fractional coordinates of all 4 atoms:
Sb 0.000 0.500 0.500
Ir 0.500 0.000 0.500
Al 0.000 0.000 0.000
Al 0.500 0.500 0.000

***

Record 7
The following is a PBE calculation of an optimized crystal structure of Dy3Ga2Si, from Alexandria.

- Formation energy from raw total energies: -0.629 eV per atom
- ρ: 7.69 g/cm3
- Calculated total energy: -116.23 eV/cell
- D(E_F): 0.595 states/eV/atom

Lattice parameters (Å, degrees): 4.034 11.898 11.786 90.00 90.00 90.00
Fractional coordinates of all 24 atoms:
Dy 0.250 0.377 0.061
Dy 0.750 0.623 0.939
Dy 0.750 0.877 0.439
Dy 0.250 0.123 0.561
Dy 0.250 0.710 0.211
Dy 0.750 0.290 0.789
Dy 0.750 0.210 0.289
Dy 0.250 0.790 0.711
Dy 0.250 0.447 0.383
Dy 0.750 0.553 0.617
Dy 0.750 0.947 0.117
Dy 0.250 0.053 0.883
Ga 0.250 0.691 0.483
Ga 0.750 0.309 0.517
Ga 0.750 0.191 0.017
Ga 0.250 0.809 0.983
Ga 0.250 0.009 0.311
Ga 0.750 0.991 0.689
Ga 0.750 0.509 0.189
Ga 0.250 0.491 0.811
Si 0.250 0.130 0.131
Si 0.750 0.870 0.869
Si 0.750 0.630 0.369
Si 0.250 0.370 0.631

***

Record 8
The following is a PBE calculation of an optimized crystal structure of MgGe2W, from Alexandria.

- ρ: 5.57 g/cm3
- Calculated total energy: -41.30 eV/cell
- Calculated formation energy: 3.134 eV per formula unit
- D(E_F): 0.149 states/eV/atom

Lattice parameters (Å, degrees): 6.170 6.170 7.051 64.06 64.06 90.00
Fractional coordinates of all 8 atoms:
Ge 0.666 0.125 0.250
Ge 0.084 0.625 0.250
Ge 0.375 0.334 0.750
Ge 0.875 0.916 0.750
Mg 0.500 0.500 0.000
Mg 0.250 0.750 0.500
W 0.000 0.000 0.000
W 0.750 0.250 0.500

***

Record 9
The following is a PBE calculation of an optimized crystal structure of PW, from Alexandria.

- ρ: 13.00 g/cm3
- Calculated total energy: -18.56 eV/cell
- Calculated formation energy: -0.199 eV per formula unit
- D(E_F): 0.519 states/eV/atom

Lattice parameters (Å, degrees): 3.016 3.016 3.016 90.00 90.00 90.00
Fractional coordinates of all 2 atoms:
P 0.000 0.000 0.000
W 0.500 0.500 0.500

***

Record 10
The following is a PBE calculation of an optimized crystal structure of Ga4PbAu, from Alexandria.

- ρ: 8.88 g/cm3
- Calculated total energy: -18.49 eV/cell
- Calculated formation energy: 0.607 eV per formula unit
- D(E_F): 0.501 states/eV/atom

Lattice parameters (Å, degrees): 5.653 5.653 5.653 60.00 60.00 60.00
Fractional coordinates of all 6 atoms:
Pb 0.250 0.250 0.250
Au 0.000 0.000 0.000
Ga 0.626 0.626 0.122
Ga 0.626 0.122 0.626
Ga 0.626 0.626 0.626
Ga 0.122 0.626 0.626

***

Record 11
The following is a PBE calculation of an optimized crystal structure of ZrSc2Sb, from Alexandria.

- Formation energy from raw total energies: -0.183 eV per atom
- ρ: 5.22 g/cm3
- Calculated total energy: -26.07 eV/cell
- D(E_F): 1.089 states/eV/atom

Lattice parameters (Å, degrees): 10.107 10.107 10.107 19.08 19.08 19.08
Each line ends with the local moment (μB).
Fractional coordinates of all 4 atoms:
Sb 0.751 0.751 0.751  -0.01
Sc 0.003 0.003 0.003  0.29
Sc 0.248 0.248 0.248  0.06
Zr 0.497 0.497 0.497  -0.01

***

Record 12
The following is a PBE calculation of an optimized crystal structure of La4Sm15Tl, from Alexandria.

- ρ: 7.42 g/cm3
- Calculated total energy: -93.13 eV/cell
- Calculated formation energy: -0.272 eV per formula unit
- D(E_F): 1.334 states/eV/atom

Lattice parameters (Å, degrees): 5.101 5.101 25.917 90.00 90.00 90.00
Fractional coordinates of all 20 atoms:
La 0.000 0.000 0.197
La 0.000 0.000 0.399
La 0.000 0.000 0.601
La 0.000 0.000 0.803
Sm 0.500 0.500 0.000
Sm 0.500 0.500 0.194
Sm 0.500 0.500 0.398
Sm 0.500 0.500 0.602
Sm 0.500 0.500 0.806
Sm 0.500 0.000 0.095
Sm 0.500 0.000 0.297
Sm 0.500 0.000 0.500
Sm 0.500 0.000 0.703
Sm 0.500 0.000 0.905
Sm 0.000 0.500 0.095
Sm 0.000 0.500 0.297
Sm 0.000 0.500 0.500
Sm 0.000 0.500 0.703
Sm 0.000 0.500 0.905
Tl 0.000 0.000 0.000

***

Record 13
The following is a PBE calculation of an optimized crystal structure of K2CaSc, from Alexandria.

- ρ: 1.54 g/cm3
- Excess energy over the best structure of this formula in the dataset: 120 meV per atom
- Calculated total energy: -8.70 eV/cell
- Calculated formation energy: 1.828 eV per formula unit
- D(E_F): 0.922 states/eV/atom

Lattice parameters (Å, degrees): 14.382 14.382 14.382 15.08 15.08 15.08
Each line ends with the local moment (μB).
Fractional coordinates of all 4 atoms:
Ca 0.750 0.750 0.750  0.00
K 0.996 0.996 0.996  0.01
K 0.504 0.504 0.504  0.01
Sc 0.250 0.250 0.250  0.60

***

Record 14
The following is a PBE calculation of an optimized crystal structure of Pr2Er6Tm3In, from Alexandria.

- ρ: 8.70 g/cm3
- Calculated total energy: -53.74 eV/cell
- Calculated formation energy: -0.650 eV per formula unit
- D(E_F): 1.316 states/eV/atom

Lattice parameters (Å, degrees): 6.052 6.052 11.656 94.97 94.97 120.02
Fractional coordinates of all 12 atoms:
Pr 0.334 0.666 0.000
Pr 0.666 0.334 0.000
Er 0.916 0.589 0.748
Er 0.757 0.757 0.253
Er 0.084 0.411 0.252
Er 0.589 0.916 0.748
Er 0.243 0.243 0.747
Er 0.411 0.084 0.252
Tm 0.166 0.834 0.500
Tm 0.834 0.166 0.500
Tm 0.500 0.500 0.500
In 0.000 0.000 0.000

***

Record 15
The following is a PBE calculation of an optimized crystal structure of KDyEr4S8, from Alexandria.

- Formation energy from raw total energies: -1.931 eV per atom
- ρ: 4.87 g/cm3
- Calculated total energy: -84.01 eV/cell
- D(E_F): 0.000 states/eV/atom

Lattice parameters (Å, degrees): 8.148 8.148 8.177 60.12 60.12 60.00
Fractional coordinates of all 14 atoms:
K 0.374 0.374 0.878
Dy 0.005 0.005 0.986
Er 0.625 0.625 0.124
Er 0.005 0.486 0.505
Er 0.486 0.005 0.505
Er 0.005 0.005 0.505
S 0.235 0.800 0.731
S 0.800 0.235 0.731
S 0.235 0.235 0.731
S 0.233 0.233 0.301
S 0.756 0.228 0.259
S 0.228 0.756 0.259
S 0.756 0.756 0.259
S 0.757 0.757 0.728

***

Record 16
The following is a PBE calculation of an optimized crystal structure of LiAg2Rh, from Alexandria.

- ρ: 8.53 g/cm3
- Calculated total energy: -14.80 eV/cell
- Calculated formation energy: 0.170 eV per formula unit
- D(E_F): 0.523 states/eV/atom

Lattice parameters (Å, degrees): 4.928 4.928 4.928 132.75 132.75 69.05
Fractional coordinates of all 4 atoms:
Ag 0.000 0.000 0.000
Ag 0.250 0.750 0.500
Li 0.500 0.500 0.000
Rh 0.750 0.250 0.500

***

Record 17
The following is a PBE calculation of an optimized crystal structure of Dy4IrPb2, from Alexandria.

- ρ: 10.55 g/cm3
- Calculated total energy: -76.26 eV/cell
- Calculated formation energy: -3.442 eV per formula unit
- D(E_F): 0.845 states/eV/atom

Lattice parameters (Å, degrees): 7.272 6.596 9.552 90.00 120.29 90.00
Fractional coordinates of all 14 atoms:
Dy 0.346 0.494 0.211
Dy 0.129 0.750 0.841
Dy 0.871 0.250 0.159
Dy 0.346 0.006 0.211
Dy 0.903 0.250 0.591
Dy 0.654 0.994 0.789
Dy 0.654 0.506 0.789
Dy 0.097 0.750 0.409
Ir 0.002 0.750 0.080
Ir 0.998 0.250 0.920
Pb 0.619 0.750 0.083
Pb 0.381 0.250 0.917
Pb 0.284 0.250 0.491
Pb 0.716 0.750 0.509

***

Record 18
The following is a PBE calculation of an optimized crystal structure of Ac7Ir2Pb3, from Alexandria.

- ρ: 9.39 g/cm3
- Calculated total energy: -62.94 eV/cell
- Calculated formation energy: -5.336 eV per formula unit
- D(E_F): 0.855 states/eV/atom

Lattice parameters (Å, degrees): 5.647 5.827 14.246 101.80 90.00 90.00
Fractional coordinates of all 12 atoms:
Ac 0.000 0.390 0.780
Ac 0.000 0.789 0.577
Ac 0.000 0.000 0.000
Ac 0.000 0.610 0.220
Ac 0.500 0.096 0.191
Ac 0.500 0.904 0.809
Ac 0.000 0.211 0.423
Ir 0.000 0.893 0.786
Ir 0.000 0.107 0.214
Pb 0.500 0.500 0.000
Pb 0.500 0.694 0.389
Pb 0.500 0.306 0.611

***

Record 19
The following is a PBE calculation of an optimized crystal structure of InIr2Cl, from Alexandria.

- Formation energy from raw total energies: 0.707 eV per atom
- ρ: 12.73 g/cm3
- Excess energy over the best structure of this formula in the dataset: 533 meV per atom
- Calculated total energy: -19.48 eV/cell
- D(E_F): 1.248 states/eV/atom

Lattice parameters (Å, degrees): 4.497 4.497 4.497 111.54 111.54 105.40
Fractional coordinates of all 4 atoms:
Cl 0.500 0.500 0.000
Ir 0.000 0.000 0.000
Ir 0.250 0.750 0.500
In 0.750 0.250 0.500

***

Record 20
The following is a PBE calculation of an optimized crystal structure of CaIr2Se, from Alexandria.

- Formation energy from raw total energies: 0.298 eV per atom
- ρ: 11.68 g/cm3
- Excess energy over the best structure of this formula in the dataset: 539 meV per atom
- Calculated total energy: -22.02 eV/cell
- D(E_F): 0.696 states/eV/atom

Lattice parameters (Å, degrees): 8.907 8.907 8.907 19.90 19.90 19.90
Fractional coordinates of all 4 atoms:
Ca 0.750 0.750 0.750
Ir 0.991 0.991 0.991
Ir 0.509 0.509 0.509
Se 0.250 0.250 0.250